Entry 1:
# BeFe2Co

A relaxed structure of BeFe2Co (GGA-PBEsol, Alexandria).

It has space group C2/m (No. 12), with a = 4.6705 Å, b = 7.5797 Å, c = 2.3871 Å, α = 90.00°, β = 108.07° and γ = 90.00°. The asymmetric unit holds Be at (0.0000, 0.0000, 0.0000), Fe at (0.2500, 0.2500, 0.5000) and Co at (0.0000, 0.5000, 0.0000).

The total energy comes out at -7.4307 eV per atom. The formation energy comes out at -0.01 eV per atom.



Entry 2:
# ReHg3B

A relaxed structure of ReHg3B (GGA-PBEsol, Alexandria).

It has space group Pm-3m (No. 221), with a = 4.4762 Å, b = 4.4762 Å, c = 4.4762 Å, α = 90.00°, β = 90.00° and γ = 90.00°. The asymmetric unit holds Re at (0.0000, 0.0000, 0.0000), Hg at (0.0000, 0.5000, 0.5000) and B at (0.5000, 0.5000, 0.5000).

The total energy comes out at -2.9474 eV per atom. The formation energy comes out at 1.46 eV per atom.



Entry 3:
# KBeNbGe2

A relaxed structure of KBeNbGe2 (GGA-PBEsol, Alexandria).

It has space group P4/mmm (No. 123), with a = 5.1342 Å, b = 5.1342 Å, c = 4.6910 Å, α = 90.00°, β = 90.00° and γ = 90.00°. The asymmetric unit holds K at (0.0000, 0.0000, 0.0000), Be at (0.5000, 0.5000, 0.5000), Nb at (0.0000, 0.0000, 0.5000) and Ge at (0.0000, 0.5000, 0.0000).

The total energy comes out at -2.6541 eV per atom. The formation energy comes out at 2.51 eV per atom.



Entry 4:
# Tl3Cd

A relaxed structure of Tl3Cd (GGA-PBEsol, Alexandria).

It has space group Cmmm (No. 65), with a = 6.5451 Å, b = 9.9661 Å, c = 3.2436 Å, α = 90.00°, β = 90.00° and γ = 90.00°. The asymmetric unit holds Tl at (0.0000, 0.0000, 0.0000), Tl at (0.2500, 0.2500, 0.5000) and Cd at (0.0000, 0.5000, 0.0000).

The total energy comes out at -2.2132 eV per atom. The formation energy comes out at 0.06 eV per atom.



Entry 5:
# NaCoRu3

A relaxed structure of NaCoRu3 (GGA-PBEsol, Alexandria).

It has space group Pm-3m (No. 221), with a = 4.3216 Å, b = 4.3216 Å, c = 4.3216 Å, α = 90.00°, β = 90.00° and γ = 90.00°. The asymmetric unit holds Na at (0.0000, 0.0000, 0.0000), Co at (0.5000, 0.5000, 0.5000) and Ru at (0.0000, 0.0000, 0.5000).

The total energy comes out at -5.1074 eV per atom. The formation energy comes out at 2.82 eV per atom.



Entry 6:
# ScTa2Au

A relaxed structure of ScTa2Au (GGA-PBEsol, Alexandria).

It has space group P4/mmm (No. 123), with a = 2.9286 Å, b = 2.9286 Å, c = 8.4975 Å, α = 90.00°, β = 90.00° and γ = 90.00°. The asymmetric unit holds Sc at (0.0000, 0.0000, 0.0000), Ta at (0.5000, 0.5000, 0.2607) and Au at (0.0000, 0.0000, 0.5000).

As for the energy above the lowest structure with this stoichiometry: 56 meV per atom. The total energy comes out at -8.8592 eV per atom. The formation energy comes out at 0.05 eV per atom.



Entry 7:
# Ca2LaGeS4Cl3

A relaxed structure of Ca2LaGeS4Cl3 (GGA-PBEsol, Alexandria).

It has space group Cmc2_1 (No. 36), with a = 9.2807 Å, b = 17.1812 Å, c = 6.2722 Å, α = 90.00°, β = 90.00° and γ = 90.00°. The asymmetric unit holds Ca at (0.2151, 0.0819, 0.0000), La at (0.0000, 0.3076, 0.0072), Ge at (0.0000, 0.1578, 0.5758), S at (0.0000, 0.0373, 0.7030), S at (0.0000, 0.1626, 0.2214), S at (0.1887, 0.2170, 0.7241), Cl at (0.0000, 0.3745, 0.4222) and Cl at (0.1798, 0.4366, 0.9018).

Its uncorrected formation energy is -1.81 eV/atom. The total energy comes out at -5.2715 eV per atom.



Entry 8:
# Zr2BiPt2

A relaxed structure of Zr2BiPt2 (GGA-PBEsol, Alexandria).

It has space group P4/mbm (No. 127), with a = 7.6914 Å, b = 7.6914 Å, c = 3.3739 Å, α = 90.00°, β = 90.00° and γ = 90.00°. The asymmetric unit holds Zr at (0.1628, 0.3372, 0.0000), Bi at (0.0000, 0.0000, 0.5000) and Pt at (0.1278, 0.6278, 0.5000).

The total energy comes out at -8.0909 eV per atom. The formation energy comes out at -0.81 eV per atom.



Entry 9:
# CaAlZnAs2

A relaxed structure of CaAlZnAs2 (GGA-PBEsol, Alexandria).

It has space group P4/mmm (No. 123), with a = 4.9835 Å, b = 4.9835 Å, c = 4.6247 Å, α = 90.00°, β = 90.00° and γ = 90.00°. The asymmetric unit holds Ca at (0.0000, 0.0000, 0.0000), Al at (0.5000, 0.5000, 0.0000), Zn at (0.5000, 0.5000, 0.5000) and As at (0.0000, 0.5000, 0.5000).

The total energy comes out at -3.5383 eV per atom. The formation energy comes out at 0.07 eV per atom.



Entry 10:
# Tb5Ir3

A relaxed structure of Tb5Ir3 (GGA-PBEsol, Alexandria).

It has space group P4/ncc (No. 130, origin choice 2), with a = 10.7796 Å, b = 10.7796 Å, c = 6.2719 Å, α = 90.00°, β = 90.00° and γ = 90.00°. The asymmetric unit holds Tb at (0.0413, 0.1618, 0.1224), Tb at (0.2500, 0.7500, 0.0000), Ir at (0.0960, 0.5960, 0.7500) and Ir at (0.2500, 0.2500, 0.3767).

As for the energy above the lowest structure with this stoichiometry: 0 meV per atom. The total energy comes out at -7.5662 eV per atom. The formation energy comes out at -0.75 eV per atom.



Entry 11:
# CsTcN2

A relaxed structure of CsTcN2 (GGA-PBEsol, Alexandria).

It has space group Fd-3m (No. 227, origin choice 2), with a = 8.5221 Å, b = 8.5221 Å, c = 8.5221 Å, α = 90.00°, β = 90.00° and γ = 90.00°. The asymmetric unit holds Cs at (0.1250, 0.1250, 0.1250), Tc at (0.1250, 0.1250, 0.6250) and N at (0.0000, 0.0000, 0.5000).

Its uncorrected formation energy is -0.35 eV/atom. The total energy comes out at -7.6643 eV per atom.



Entry 12:
# Sb2MoSe

A relaxed structure of Sb2MoSe (GGA-PBEsol, Alexandria).

It has space group R3m (No. 160, hexagonal axes), with a = 3.3195 Å, b = 3.3195 Å, c = 27.3398 Å, α = 90.00°, β = 90.00° and γ = 120.00°. The asymmetric unit holds Sb at (0.0000, 0.0000, 0.0000), Sb at (0.0000, 0.0000, 0.2408), Mo at (0.0000, 0.0000, 0.5007) and Se at (0.0000, 0.0000, 0.7750).

Its uncorrected formation energy is -0.09 eV/atom. The total energy comes out at -6.2776 eV per atom.